Below is a PBEsol-optimized structure of NbIrC3, with properties calculated at the SCAN level.

The crystal system is cubic. The total energy is -24.860 eV/atom. The value obtained for the total magnetic moment is 2.22 Bohr magnetons per cell. As for the space group: Pm-3m, No. 221. As for the formation enthalpy at 0 K: 987 kJ/mol of formula units.

Unit cell a=3.906 b=3.906 c=3.906 alpha=90.00 beta=90.00 gamma=90.00
Last column: magnetic moment on the atom in μB.
Sites, in units of the cell vectors:
1 Ir 0.000 0.000 0.000  0.41
2 C 0.000 0.500 0.000  0.07
3 C 0.000 0.000 0.500  0.07
4 C 0.500 0.000 0.000  0.07
5 Nb 0.500 0.500 0.500  1.25

***

Below is a PBEsol-optimized structure of BaP2PbO7, with properties calculated at the SCAN level.

The crystal system is orthorhombic. The total energy is -18.950 eV/atom. The value obtained for the total magnetic moment is 0.00 Bohr magnetons per cell. As for the space group: Pnma, No. 62.

Unit cell a=5.603 b=9.112 c=13.435 alpha=90.00 beta=90.00 gamma=90.00
Sites, in units of the cell vectors:
1 O 0.975 0.594 0.265
2 O 0.750 0.114 0.070
3 O 0.476 0.141 0.574
4 O 0.024 0.141 0.574
5 O 0.250 0.722 0.080
6 O 0.250 0.886 0.930
7 O 0.524 0.359 0.074
8 O 0.976 0.359 0.074
9 O 0.024 0.641 0.926
10 O 0.475 0.906 0.765
11 O 0.524 0.859 0.426
12 O 0.750 0.614 0.430
13 O 0.025 0.906 0.765
14 O 0.476 0.641 0.926
15 O 0.250 0.386 0.570
16 O 0.750 0.377 0.337
17 O 0.250 0.123 0.837
18 O 0.025 0.406 0.735
19 O 0.525 0.094 0.235
20 O 0.750 0.278 0.920
21 O 0.475 0.406 0.735
22 O 0.750 0.877 0.163
23 O 0.250 0.222 0.420
24 O 0.750 0.778 0.580
25 O 0.250 0.623 0.663
26 O 0.975 0.094 0.235
27 O 0.525 0.594 0.265
28 O 0.976 0.859 0.426
29 Pb 0.750 0.634 0.088
30 Pb 0.750 0.134 0.412
31 Pb 0.250 0.866 0.588
32 Pb 0.250 0.366 0.912
33 Ba 0.750 0.658 0.760
34 Ba 0.250 0.342 0.240
35 Ba 0.750 0.158 0.740
36 Ba 0.250 0.842 0.260
37 P 0.250 0.457 0.680
38 P 0.750 0.543 0.320
39 P 0.750 0.043 0.180
40 P 0.750 0.284 0.034
41 P 0.250 0.957 0.820
42 P 0.250 0.716 0.966
43 P 0.250 0.216 0.534
44 P 0.750 0.784 0.466

***

Below is a PBEsol-optimized structure of IrSe5, with properties calculated at the SCAN level.

The crystal system is orthorhombic. The total energy is -28.595 eV/atom. The value obtained for the total magnetic moment is 0.00 Bohr magnetons per cell. As for the space group: Cmmm, No. 65. The energy above the most stable polymorph in this dataset is 0 meV per atom.

Unit cell a=3.723 b=5.301 c=6.484 alpha=90.00 beta=106.68 gamma=90.00
Sites, in units of the cell vectors:
1 Se 0.056 0.500 0.111
2 Se 0.686 0.000 0.372
3 Se 0.396 0.500 0.793
4 Se 0.425 0.000 0.851
5 Se 0.715 0.500 0.429
6 Ir 0.056 0.000 0.111

***

Below is a PBEsol-optimized structure of BaZnHg2, with properties calculated at the SCAN level.

The crystal system is tetragonal. The total energy is -47.612 eV/atom. The value obtained for the total magnetic moment is 0.00 Bohr magnetons per cell. As for the space group: P4/mmm, No. 123. As for the formation enthalpy at 0 K: -101 kJ/mol of formula units.

Unit cell a=3.635 b=3.635 c=7.661 alpha=90.00 beta=90.00 gamma=90.00
Sites, in units of the cell vectors:
1 Zn 0.500 0.500 0.000
2 Ba 0.500 0.500 0.500
3 Hg 0.000 0.000 0.197
4 Hg 0.000 0.000 0.803

***

Below is a PBEsol-optimized structure of BaCo2Pb, with properties calculated at the SCAN level.

The crystal system is cubic. The total energy is -36.869 eV/atom. The value obtained for the total magnetic moment is 3.81 Bohr magnetons per cell. As for the space group: Fm-3m, No. 225. As for the formation enthalpy at 0 K: 238 kJ/mol of formula units. The energy above the most stable polymorph in this dataset is 126 meV per atom.

Unit cell a=4.816 b=4.816 c=4.816 alpha=60.00 beta=60.00 gamma=60.00
Last column: magnetic moment on the atom in μB.
Sites, in units of the cell vectors:
1 Pb 0.000 0.000 0.000  0.03
2 Co 0.250 0.250 0.250  1.84
3 Co 0.750 0.750 0.750  1.84
4 Ba 0.500 0.500 0.500  -0.05

***

Below is a PBEsol-optimized structure of SiTc2Ru, with properties calculated at the SCAN level.

The crystal system is orthorhombic. The total energy is -29.048 eV/atom. The value obtained for the total magnetic moment is 0.00 Bohr magnetons per cell. As for the space group: Imm2, No. 44.

Unit cell a=2.877 b=4.303 c=4.985 alpha=115.57 beta=106.77 gamma=90.00
Sites, in units of the cell vectors:
1 Tc 0.750 0.250 0.500
2 Tc 0.979 0.979 0.957
3 Ru 0.524 0.524 0.047
4 Si 0.248 0.748 0.496

***

Below is a PBEsol-optimized structure of ZnAg3O, with properties calculated at the SCAN level.

The crystal system is cubic. The total energy is -21.795 eV/atom. The value obtained for the total magnetic moment is 0.73 Bohr magnetons per cell. As for the space group: Pm-3m, No. 221.

Unit cell a=4.664 b=4.664 c=4.664 alpha=90.00 beta=90.00 gamma=90.00
Last column: magnetic moment on the atom in μB.
Sites, in units of the cell vectors:
1 Ag 0.500 0.000 0.000  0.02
2 Ag 0.000 0.500 0.000  0.02
3 Ag 0.000 0.000 0.500  0.02
4 O 0.500 0.500 0.500  -0.82
5 Zn 0.000 0.000 0.000  0.03

***

Below is a PBEsol-optimized structure of NiRh3, with properties calculated at the SCAN level.

The crystal system is orthorhombic. The total energy is -29.335 eV/atom. The value obtained for the total magnetic moment is 1.48 Bohr magnetons per cell. As for the space group: Pmmm, No. 47. As for the formation enthalpy at 0 K: 14 kJ/mol of formula units.

Unit cell a=2.654 b=3.679 c=5.243 alpha=90.00 beta=90.00 gamma=90.00
Last column: magnetic moment on the atom in μB.
Sites, in units of the cell vectors:
1 Ni 0.000 0.000 0.000  0.87
2 Rh 0.500 0.500 0.756  0.27
3 Rh 0.500 0.500 0.244  0.27
4 Rh 0.000 0.000 0.500  0.19

***

Below is a PBEsol-optimized structure of AlTc5, with properties calculated at the SCAN level.

The crystal system is hexagonal. The total energy is -30.692 eV/atom. The value obtained for the total magnetic moment is 0.00 Bohr magnetons per cell. As for the space group: P-62m, No. 189. As for the formation enthalpy at 0 K: -106 kJ/mol of formula units. The energy above the most stable polymorph in this dataset is 0 meV per atom.

Unit cell a=4.453 b=4.657 c=4.657 alpha=120.00 beta=90.00 gamma=90.00
Sites, in units of the cell vectors:
1 Tc 0.000 0.679 0.000
2 Tc 0.000 0.000 0.679
3 Tc 0.500 0.667 0.333
4 Tc 0.500 0.333 0.667
5 Tc 0.000 0.321 0.321
6 Al 0.500 0.000 0.000

***

Below is a PBEsol-optimized structure of ZnBSN2, with properties calculated at the SCAN level.

The crystal system is tetragonal. The total energy is -9.049 eV/atom. The value obtained for the total magnetic moment is 0.00 Bohr magnetons per cell. As for the space group: P4/mmm, No. 123.

Unit cell a=3.148 b=3.148 c=6.668 alpha=90.00 beta=90.00 gamma=90.00
Sites, in units of the cell vectors:
1 Zn 0.500 0.500 0.500
2 B 0.000 0.000 0.000
3 N 0.500 0.000 0.000
4 N 0.000 0.500 0.000
5 S 0.000 0.000 0.500

***

Below is a PBEsol-optimized structure of CuSiS2Cl, with properties calculated at the SCAN level.

The crystal system is tetragonal. The total energy is -10.041 eV/atom. The value obtained for the total magnetic moment is 0.00 Bohr magnetons per cell. As for the space group: P4/mmm, No. 123.

Unit cell a=4.497 b=4.488 c=4.488 alpha=90.00 beta=90.00 gamma=90.00
Sites, in units of the cell vectors:
1 S 0.000 0.000 0.500
2 S 0.000 0.500 0.000
3 Si 0.500 0.500 0.500
4 Cu 0.000 0.000 0.000
5 Cl 0.500 0.000 0.000

***

Below is a PBEsol-optimized structure of TiAlH2, with properties calculated at the SCAN level.

The crystal system is cubic. The total energy is -7.396 eV/atom. The value obtained for the total magnetic moment is 0.00 Bohr magnetons per cell. As for the space group: Fm-3m, No. 225. The energy above the most stable polymorph in this dataset is 434 meV per atom.

Unit cell a=3.701 b=3.701 c=3.701 alpha=60.00 beta=60.00 gamma=60.00
Sites, in units of the cell vectors:
1 H 0.750 0.750 0.750
2 H 0.250 0.250 0.250
3 Ti 0.500 0.500 0.500
4 Al 0.000 0.000 0.000

***

Below is a PBEsol-optimized structure of Te3C, with properties calculated at the SCAN level.

The crystal system is tetragonal. The total energy is -28.805 eV/atom. The value obtained for the total magnetic moment is 1.08 Bohr magnetons per cell. As for the space group: I4/mmm, No. 139. The energy above the most stable polymorph in this dataset is 470 meV per atom.

Unit cell a=3.935 b=3.935 c=14.509 alpha=97.79 beta=97.79 gamma=90.00
Last column: magnetic moment on the atom in μB.
Sites, in units of the cell vectors:
1 C 0.626 0.626 0.252  0.53
2 C 0.374 0.374 0.748  0.53
3 Te 0.875 0.875 0.749  -0.27
4 Te 0.000 0.500 0.000  -0.03
5 Te 0.500 0.000 0.000  -0.03
6 Te 0.125 0.125 0.251  -0.27
7 Te 0.250 0.750 0.500  -0.03
8 Te 0.750 0.250 0.500  -0.03

***

| no. | DOS at the Fermi energy (states/eV/f.u.) |
| --- | --- |
| 1 | 4.66 |
| 2 | 0.00 |
| 3 | 2.08 |
| 4 | 2.38 |
| 5 | 2.24 |
| 6 | 3.12 |
| 7 | 2.13 |
| 8 | 5.05 |
| 9 | 3.87 |
| 10 | 1.34 |
| 11 | 1.83 |
| 12 | 2.02 |
| 13 | 2.33 |